Model i:
Ho4RhAu | PBE | optimized geometry

Results
Magnetic moment: 0.000 Bohr magnetons per cell
Volume: 326.4 Å³/cell

```
Ho4RhAu
1.0
6.891 0.000 0.000
0.000 6.891 0.000
-0.012 0.000 6.874
Ho Rh Au
8 2 2
Direct
0.250 0.250 0.242
0.250 0.250 0.758
0.250 0.750 0.242
0.250 0.750 0.758
0.750 0.250 0.242
0.750 0.250 0.758
0.750 0.750 0.242
0.750 0.750 0.758
0.000 0.000 0.000
0.500 0.500 0.000
0.000 0.500 0.500
0.500 0.000 0.500
```

Model ii:
Ho4RhAu | PBE | optimized geometry

Results
Magnetic moment: 0.000 Bohr magnetons per cell
Volume: 611.6 Å³/cell

```
Ho4RhAu
1.0
8.227 0.000 0.000
0.000 4.778 0.000
0.000 0.000 15.559
Ho Rh Au
16 4 4
Direct
0.032 0.250 0.078
0.084 0.250 0.777
0.130 0.250 0.337
0.151 0.250 0.565
0.349 0.750 0.065
0.370 0.750 0.837
0.416 0.750 0.277
0.468 0.750 0.578
0.532 0.250 0.422
0.584 0.250 0.723
0.630 0.250 0.163
0.651 0.250 0.935
0.849 0.750 0.435
0.870 0.750 0.663
0.916 0.750 0.223
0.968 0.750 0.922
0.194 0.750 0.686
0.306 0.250 0.186
0.694 0.750 0.814
0.806 0.250 0.314
0.231 0.750 0.440
0.269 0.250 0.940
0.731 0.750 0.060
0.769 0.250 0.560
```

The relative energies come out as model i 7.4; model ii 0.0, with values in kJ/mol of atoms.